15
Lattice="10.331 0.002 0.001 8.635 5.672 0.001 13.800 4.128 2.526" Properties=species:S:1:pos:R:3 comment="Li3MnCr3O8 | Alexandria via LeMat-Bulk | PBE with a Hubbard U | relaxed" de_polymorph_kj_per_mol_atoms=0.0 rho_kg_m3=4040 e_tot_ev_per_atom=-6.97 space_group="R-3m (166)" pbc="T T T"
O 13.084 3.914 0.737
O 23.962 8.781 1.903
O 10.226 3.059 1.871
O 19.682 5.888 1.791
Cr 23.283 6.965 2.527
O 8.804 1.021 0.625
Li 16.383 4.901 1.264
O 22.541 6.743 0.656
O 18.250 3.983 0.626
Cr 4.317 2.836 0.001
Li 12.066 2.065 1.263
Mn 8.635 5.672 0.001
O 24.848 5.821 1.903
Cr 18.966 4.129 2.526
Li 11.218 4.900 1.263